No. 1
Here is a relaxed SrLaO2F crystal from the Alexandria database. Energies are from PBE.

POSCAR file:
```
SrLaO2F
1.0
-1.1290 -0.4350 4.4917
-2.9475 -3.4350 -1.0735
3.1911 -2.9012 0.5211
O Sr La F
2 1 1 1
Cartesian
-0.5645 -0.2175 2.2459
-1.4738 -1.7175 -0.5367
0.0000 0.0000 0.0000
-0.4427 -3.3855 1.9697
1.5956 -1.4506 0.2606
```

Results
energy = -6.07 eV per atom
space-group type = P4/mmm, No. 123
raw formation energy = -2.392 eV/atom


No. 2
Here is a relaxed Sb3TeS8 crystal from the Alexandria database. Energies are from PBE.

POSCAR file:
```
Sb3TeS8
1.0
-3.8985 4.1142 -4.9515
7.1535 -1.8474 -1.4475
-5.4718 -5.5517 -0.3047
S Sb Te
8 3 1
Cartesian
-7.0389 -1.1370 -3.9727
2.8794 -0.0977 -5.1985
-0.6853 0.8334 -4.4876
-5.0962 -3.1872 -1.5052
1.2682 -1.2260 -2.0172
-3.4850 -2.0589 -4.6866
-1.5315 -4.1184 -2.2161
4.8221 -2.1479 -2.7310
-1.9493 2.0571 -2.4758
3.5768 -0.9237 -0.7238
1.6275 1.1334 -3.1995
0.0000 0.0000 0.0000
```

Results
energy = -4.08 eV per atom
space-group type = C2/m, No. 12
raw formation energy = -0.040 eV/atom


No. 3
Here is a relaxed LiZnSe2 crystal from the Alexandria database. Energies are from PBE.

POSCAR file:
```
LiZnSe2
1.0
-4.4712 -1.2646 2.1892
-0.1537 -4.4345 -2.5874
2.8694 2.1547 3.6752
Se Zn Li
2 1 1
Cartesian
-4.5445 -5.6001 -0.3914
-2.3928 -2.9486 -0.2061
-1.9571 -0.9797 2.8326
0.2016 -2.5647 0.4443
```

Results
energy = -2.96 eV per atom
space-group type = Immm, No. 71
raw formation energy = -0.423 eV/atom
distance to the lowest polymorph of the same formula = 17.5 kJ/mol of atoms